NaLa2Sb2 after structural relaxation, computed with GGA-PBE.

Geometry as CIF:
```
data_NaLa2Sb2
_cell_length_a 8.6768
_cell_length_b 8.6768
_cell_length_c 4.2880
_cell_angle_alpha 90.00
_cell_angle_beta 90.00
_cell_angle_gamma 90.00
_space_group_name_H-M_alt 'P 4/m b m'
_space_group_IT_number 127
_space_group_name_Hall '-P 4 2ab'
loop_
_atom_site_label
_atom_site_type_symbol
_atom_site_fract_x
_atom_site_fract_y
_atom_site_fract_z
_atom_site_occupancy
Na1 Na 0.0000 0.0000 0.0000 1
La1 La 0.1485 0.3515 0.5000 1
Sb1 Sb 0.1557 0.6557 0.0000 1
```

Summary:
- N(E_F): 1.78 states/eV/f.u.
- Total energy: -4.82 eV/atom
- M_tot: 0.7 μB/f.u.
- Excess energy over the best structure of this formula in the dataset: 0 meV per atom
- Raw formation energy: -4.658 eV per formula unit



NaLaSb2 after structural relaxation, computed with GGA-PBE.

Geometry as CIF:
```
data_NaLaSb2
_cell_length_a 7.7831
_cell_length_b 7.7831
_cell_length_c 7.7831
_cell_angle_alpha 90.00
_cell_angle_beta 90.00
_cell_angle_gamma 90.00
_space_group_name_H-M_alt 'F m -3 m'
_space_group_IT_number 225
_space_group_name_Hall '-F 4 2 3'
loop_
_atom_site_label
_atom_site_type_symbol
_atom_site_fract_x
_atom_site_fract_y
_atom_site_fract_z
_atom_site_occupancy
Na1 Na 0.0000 0.0000 0.0000 1
La1 La 0.0000 0.0000 0.5000 1
Sb1 Sb 0.2500 0.2500 0.2500 1
```

Summary:
- N(E_F): 5.62 states/eV/f.u.
- Total energy: -4.24 eV/atom
- M_tot: 0.0 μB/f.u.
- Excess energy over the best structure of this formula in the dataset: 167 meV per atom
- Raw formation energy: -2.451 eV per formula unit



NaLa2Sb2 after structural relaxation, computed with GGA-PBE.

Geometry as CIF:
```
data_NaLa2Sb2
_cell_length_a 8.9596
_cell_length_b 8.9596
_cell_length_c 4.0480
_cell_angle_alpha 90.00
_cell_angle_beta 90.00
_cell_angle_gamma 90.00
_space_group_name_H-M_alt 'P 4/m b m'
_space_group_IT_number 127
_space_group_name_Hall '-P 4 2ab'
loop_
_atom_site_label
_atom_site_type_symbol
_atom_site_fract_x
_atom_site_fract_y
_atom_site_fract_z
_atom_site_occupancy
Na1 Na 0.0000 0.0000 0.0000 1
La1 La 0.1374 0.3626 0.0000 1
Sb1 Sb 0.1634 0.6634 0.5000 1
```

Summary:
- N(E_F): 4.48 states/eV/f.u.
- Total energy: -4.67 eV/atom
- M_tot: 0.0 μB/f.u.
- Excess energy over the best structure of this formula in the dataset: 150 meV per atom
- Raw formation energy: -3.909 eV per formula unit



NaLaSb2 after structural relaxation, computed with GGA-PBE.

Geometry as CIF:
```
data_NaLaSb2
_cell_length_a 5.0662
_cell_length_b 5.0662
_cell_length_c 4.4545
_cell_angle_alpha 90.00
_cell_angle_beta 90.00
_cell_angle_gamma 90.00
_space_group_name_H-M_alt 'P 4/m m m'
_space_group_IT_number 123
_space_group_name_Hall '-P 4 2'
loop_
_atom_site_label
_atom_site_type_symbol
_atom_site_fract_x
_atom_site_fract_y
_atom_site_fract_z
_atom_site_occupancy
Na1 Na 0.0000 0.0000 0.0000 1
La1 La 0.5000 0.5000 0.0000 1
Sb1 Sb 0.0000 0.5000 0.5000 1
```

Summary:
- N(E_F): 1.99 states/eV/f.u.
- Total energy: -4.34 eV/atom
- M_tot: 0.0 μB/f.u.
- Excess energy over the best structure of this formula in the dataset: 66 meV per atom
- Raw formation energy: -2.855 eV per formula unit



NaLa2Sb after structural relaxation, computed with GGA-PBE.

Geometry as CIF:
```
data_NaLa2Sb
_cell_length_a 8.9890
_cell_length_b 8.9890
_cell_length_c 6.6605
_cell_angle_alpha 90.00
_cell_angle_beta 90.00
_cell_angle_gamma 90.00
_space_group_name_H-M_alt 'I -4 2 d'
_space_group_IT_number 122
_space_group_name_Hall 'I -4 2bw'
loop_
_atom_site_label
_atom_site_type_symbol
_atom_site_fract_x
_atom_site_fract_y
_atom_site_fract_z
_atom_site_occupancy
Na1 Na 0.0000 0.0000 0.0000 1
La1 La 0.2353 0.2500 0.6250 1
Sb1 Sb 0.0000 0.0000 0.5000 1
```

Summary:
- N(E_F): 5.51 states/eV/f.u.
- Total energy: -4.06 eV/atom
- M_tot: 0.0 μB/f.u.
- Raw formation energy: -0.935 eV per formula unit



NaLa2Sb2 after structural relaxation, computed with GGA-PBE.

Geometry as CIF:
```
data_NaLa2Sb2
_cell_length_a 5.4681
_cell_length_b 5.4681
_cell_length_c 13.4721
_cell_angle_alpha 90.00
_cell_angle_beta 90.00
_cell_angle_gamma 90.00
_space_group_name_H-M_alt 'I 4/m m m'
_space_group_IT_number 139
_space_group_name_Hall '-I 4 2'
loop_
_atom_site_label
_atom_site_type_symbol
_atom_site_fract_x
_atom_site_fract_y
_atom_site_fract_z
_atom_site_occupancy
Na1 Na 0.0000 0.0000 0.0000 1
La1 La 0.0000 0.5000 0.2500 1
Sb1 Sb 0.0000 0.0000 0.3754 1
```

Summary:
- N(E_F): 6.43 states/eV/f.u.
- Total energy: -4.40 eV/atom
- M_tot: 0.0 μB/f.u.
- Excess energy over the best structure of this formula in the dataset: 415 meV per atom
- Raw formation energy: -2.583 eV per formula unit



NaLaSb2 after structural relaxation, computed with GGA-PBE.

Geometry as CIF:
```
data_NaLaSb2
_cell_length_a 8.5386
_cell_length_b 8.5386
_cell_length_c 6.6350
_cell_angle_alpha 90.00
_cell_angle_beta 90.00
_cell_angle_gamma 90.00
_space_group_name_H-M_alt 'I -4 2 d'
_space_group_IT_number 122
_space_group_name_Hall 'I -4 2bw'
loop_
_atom_site_label
_atom_site_type_symbol
_atom_site_fract_x
_atom_site_fract_y
_atom_site_fract_z
_atom_site_occupancy
Na1 Na 0.0000 0.0000 0.0000 1
La1 La 0.0000 0.0000 0.5000 1
Sb1 Sb 0.2317 0.7500 0.1250 1
```

Summary:
- N(E_F): 0.31 states/eV/f.u.
- Total energy: -4.17 eV/atom
- M_tot: 0.0 μB/f.u.
- Excess energy over the best structure of this formula in the dataset: 229 meV per atom
- Raw formation energy: -2.205 eV per formula unit



NaLaSb2 after structural relaxation, computed with GGA-PBE.

Geometry as CIF:
```
data_NaLaSb2
_cell_length_a 4.4236
_cell_length_b 4.4236
_cell_length_c 12.1989
_cell_angle_alpha 90.00
_cell_angle_beta 90.00
_cell_angle_gamma 90.00
_space_group_name_H-M_alt 'P 4/n m m'
_space_group_IT_number 129
loop_
_space_group_symop_operation_xyz
'x,y,z'
'-x,-y,-z'
'-y+1/2,x,z'
'y+1/2,-x,-z'
'-x+1/2,-y+1/2,z'
'x+1/2,y+1/2,-z'
'y,-x+1/2,z'
'-y,x+1/2,-z'
'x+1/2,-y,-z'
'-x+1/2,y,z'
'-y,-x,-z'
'y,x,z'
'-x,y+1/2,-z'
'x,-y+1/2,z'
'y+1/2,x+1/2,-z'
'-y+1/2,-x+1/2,z'
loop_
_atom_site_label
_atom_site_type_symbol
_atom_site_fract_x
_atom_site_fract_y
_atom_site_fract_z
_atom_site_occupancy
Na1 Na 0.2500 0.7500 0.0000 1
La1 La 0.2500 0.2500 0.2842 1
Sb1 Sb 0.2500 0.2500 0.8115 1
Sb2 Sb 0.2500 0.7500 0.5000 1
```

Summary:
- N(E_F): 1.55 states/eV/f.u.
- Total energy: -4.40 eV/atom
- M_tot: 0.0 μB/f.u.
- Excess energy over the best structure of this formula in the dataset: 0 meV per atom
- Raw formation energy: -3.120 eV per formula unit



NaLa2Sb2 after structural relaxation, computed with GGA-PBE.

Geometry as CIF:
```
data_NaLa2Sb2
_cell_length_a 4.9379
_cell_length_b 4.9379
_cell_length_c 14.5929
_cell_angle_alpha 90.00
_cell_angle_beta 90.00
_cell_angle_gamma 90.00
_space_group_name_H-M_alt 'I 4/m m m'
_space_group_IT_number 139
_space_group_name_Hall '-I 4 2'
loop_
_atom_site_label
_atom_site_type_symbol
_atom_site_fract_x
_atom_site_fract_y
_atom_site_fract_z
_atom_site_occupancy
Na1 Na 0.0000 0.0000 0.0000 1
La1 La 0.0000 0.0000 0.3901 1
Sb1 Sb 0.0000 0.5000 0.2500 1
```

Summary:
- N(E_F): 3.05 states/eV/f.u.
- Total energy: -4.20 eV/atom
- M_tot: 0.0 μB/f.u.
- Excess energy over the best structure of this formula in the dataset: 618 meV per atom
- Raw formation energy: -1.566 eV per formula unit



NaLa2Sb after structural relaxation, computed with GGA-PBE.

Geometry as CIF:
```
data_NaLa2Sb
_cell_length_a 5.2306
_cell_length_b 5.2306
_cell_length_c 4.5119
_cell_angle_alpha 90.00
_cell_angle_beta 90.00
_cell_angle_gamma 90.00
_space_group_name_H-M_alt 'P 4/m m m'
_space_group_IT_number 123
_space_group_name_Hall '-P 4 2'
loop_
_atom_site_label
_atom_site_type_symbol
_atom_site_fract_x
_atom_site_fract_y
_atom_site_fract_z
_atom_site_occupancy
Na1 Na 0.0000 0.0000 0.0000 1
La1 La 0.0000 0.5000 0.5000 1
Sb1 Sb 0.5000 0.5000 0.0000 1
```

Summary:
- N(E_F): 3.04 states/eV/f.u.
- Total energy: -4.33 eV/atom
- M_tot: 0.0 μB/f.u.
- Raw formation energy: -2.036 eV per formula unit



Na3LaSb2Se6 after structural relaxation, computed with GGA-PBE.

Geometry as CIF:
```
data_Na3LaSb2Se6
_cell_length_a 7.3348
_cell_length_b 12.7133
_cell_length_c 7.4563
_cell_angle_alpha 90.00
_cell_angle_beta 109.12
_cell_angle_gamma 90.00
_space_group_name_H-M_alt 'C 1 2/m 1'
_space_group_IT_number 12
loop_
_space_group_symop_operation_xyz
'x,y,z'
'-x,-y,-z'
'-x,y,-z'
'x,-y,z'
'x+1/2,y+1/2,z'
'-x+1/2,-y+1/2,-z'
'-x+1/2,y+1/2,-z'
'x+1/2,-y+1/2,z'
loop_
_atom_site_label
_atom_site_type_symbol
_atom_site_fract_x
_atom_site_fract_y
_atom_site_fract_z
_atom_site_occupancy
Na1 Na 0.0000 0.0000 0.0000 1
Na2 Na 0.0000 0.3310 0.0000 1
La1 La 0.0000 0.5000 0.5000 1
Sb1 Sb 0.0000 0.1668 0.5000 1
Se1 Se 0.2345 0.0000 0.7354 1
Se2 Se 0.2492 0.3277 0.7326 1
```

Summary:
- N(E_F): 0.00 states/eV/f.u.
- Total energy: -4.18 eV/atom
- M_tot: 0.0 μB/f.u.
- Raw formation energy: -12.130 eV per formula unit



NaLaSb2Te after structural relaxation, computed with GGA-PBE.

Geometry as CIF:
```
data_NaLaSb2Te
_cell_length_a 6.1100
_cell_length_b 6.1100
_cell_length_c 6.1730
_cell_angle_alpha 90.00
_cell_angle_beta 90.00
_cell_angle_gamma 90.00
_space_group_name_H-M_alt 'P 4/m m m'
_space_group_IT_number 123
_space_group_name_Hall '-P 4 2'
loop_
_atom_site_label
_atom_site_type_symbol
_atom_site_fract_x
_atom_site_fract_y
_atom_site_fract_z
_atom_site_occupancy
Na1 Na 0.0000 0.0000 0.0000 1
La1 La 0.5000 0.5000 0.5000 1
Sb1 Sb 0.0000 0.5000 0.5000 1
Te1 Te 0.5000 0.5000 0.0000 1
```

Summary:
- N(E_F): 6.47 states/eV/f.u.
- Total energy: -3.60 eV/atom
- M_tot: 0.0 μB/f.u.
- Excess energy over the best structure of this formula in the dataset: 0 meV per atom
- Raw formation energy: -0.346 eV per formula unit